A:
Density functional theory data (GGA-PBE) for NdHo3Se4 after structural relaxation.

abc: 4.0385 7.1399 7.1399
angles: 108.68 90.00 90.00
With the nearest neighbours (Å) after each atom.
Fractional coordinates of all 8 atoms:
Nd 0.5000 0.0000 0.0000  6 Se 2.96
Ho 0.0000 0.0000 0.5000  6 Se 2.90
Ho 0.5000 0.5000 0.5000  6 Se 2.84
Ho 0.0000 0.5000 0.0000  6 Se 2.90
Se 0.0000 0.2606 0.2606  4 Ho 2.84-2.90, 2 Nd 2.96
Se 0.5000 0.7448 0.2552  5 Ho 2.84-2.90, 1 Nd 2.96
Se 0.0000 0.7394 0.7394  4 Ho 2.84-2.90, 2 Nd 2.96
Se 0.5000 0.2552 0.7448  5 Ho 2.84-2.90, 1 Nd 2.96

Computed properties:
theoretical density = 8.13 Mg/m³
volume = 24.38 Å³ per atom
crystal system = orthorhombic
symmetry = No. 65
Fermi-level density of states = 4.7 states/eV/cell

B:
Density functional theory data (GGA-PBE) for NdHo3Se4 after structural relaxation.

abc: 5.7449 8.5330 9.3597
angles: 90.00 90.00 90.00
With the nearest neighbours (Å) after each atom.
Fractional coordinates of all 16 atoms:
Nd 0.0644 0.2472 0.0000  5 Se 2.88-2.95
Nd 0.5644 0.7528 0.5000  5 Se 2.88-2.95
Ho 0.5644 0.8929 0.0000  5 Se 2.74-2.88
Ho 0.0644 0.6543 0.2079  5 Se 2.80-2.91
Ho 0.5644 0.3457 0.2921  5 Se 2.80-2.91
Ho 0.0644 0.1071 0.5000  5 Se 2.74-2.88
Ho 0.5644 0.3457 0.7079  5 Se 2.80-2.91
Ho 0.0644 0.6543 0.7921  5 Se 2.80-2.91
Se 0.0644 0.9016 0.0000  4 Ho 2.87, 1 Nd 2.95
Se 0.5644 0.2300 0.0000  2 Nd 2.88, 3 Ho 2.88-2.91
Se 0.0644 0.3426 0.3012  4 Ho 2.74-2.87, 1 Nd 2.93
Se 0.5644 0.6574 0.1988  4 Ho 2.74-2.87, 1 Nd 2.93
Se 0.0644 0.7700 0.5000  2 Nd 2.88, 3 Ho 2.88-2.91
Se 0.5644 0.0984 0.5000  4 Ho 2.87, 1 Nd 2.95
Se 0.5644 0.6574 0.8012  4 Ho 2.74-2.87, 1 Nd 2.93
Se 0.0644 0.3426 0.6988  4 Ho 2.74-2.87, 1 Nd 2.93

Computed properties:
theoretical density = 6.91 Mg/m³
volume = 28.68 Å³ per atom
crystal system = orthorhombic
symmetry = No. 59
Fermi-level density of states = 7.2 states/eV/cell

Result of the stability comparison: A is the most stable of them.

A:
Density functional theory data (GGA-PBE) for NdHoSe3 after structural relaxation.

abc: 4.1160 8.1464 8.2829
angles: 94.95 90.00 90.00
With the nearest neighbours (Å) after each atom.
Fractional coordinates of all 10 atoms:
Nd 0.2500 0.3788 0.2287  8 Se 2.95-3.20
Nd 0.7500 0.6212 0.7713  8 Se 2.95-3.20
Ho 0.2500 0.8537 0.3254  6 Se 2.74-2.93
Ho 0.7500 0.1463 0.6746  6 Se 2.74-2.93
Se 0.7500 0.6249 0.3896  2 Ho 2.86, 3 Nd 3.09-3.16
Se 0.2500 0.3751 0.6104  2 Ho 2.86, 3 Nd 3.09-3.16
Se 0.7500 0.3150 0.9751  1 Ho 2.74, 2 Nd 2.95
Se 0.2500 0.8999 0.6799  3 Ho 2.88-2.93, 2 Nd 3.20
Se 0.2500 0.6850 0.0249  1 Ho 2.74, 2 Nd 2.95
Se 0.7500 0.1001 0.3201  3 Ho 2.88-2.93, 2 Nd 3.20

Computed properties:
theoretical density = 6.55 Mg/m³
volume = 27.67 Å³ per atom
crystal system = monoclinic
symmetry = No. 11

B:
Density functional theory data (GGA-PBE) for NdHoSe3 after structural relaxation.

abc: 4.1426 7.7397 16.1016
angles: 90.00 90.00 90.00
With the nearest neighbours (Å) after each atom.
Fractional coordinates of all 20 atoms:
Nd 0.7500 0.8596 0.7992  8 Se 2.95-3.28
Nd 0.2500 0.1404 0.2008  8 Se 2.95-3.28
Nd 0.7500 0.3596 0.7008  8 Se 2.95-3.28
Nd 0.2500 0.6404 0.2992  8 Se 2.95-3.28
Ho 0.2500 0.2710 0.9574  7 Se 2.86-3.06
Ho 0.2500 0.7710 0.5426  7 Se 2.86-3.06
Ho 0.7500 0.2290 0.4574  7 Se 2.86-3.06
Ho 0.7500 0.7290 0.0426  7 Se 2.86-3.06
Se 0.2500 0.3778 0.5622  3 Ho 2.91-3.06, 2 Nd 3.05, 1 Se 3.25
Se 0.7500 0.8484 0.2151  1 Ho 2.93, 4 Nd 2.95-3.07, 1 Se 3.25
Se 0.7500 0.4908 0.8946  3 Ho 2.86-3.01
Se 0.7500 0.9908 0.6054  3 Ho 2.86-3.01
Se 0.7500 0.6222 0.4378  3 Ho 2.91-3.06, 2 Nd 3.05, 1 Se 3.25
Se 0.2500 0.0092 0.3946  3 Ho 2.86-3.01
Se 0.2500 0.8778 0.9378  3 Ho 2.91-3.06, 2 Nd 3.05, 1 Se 3.25
Se 0.7500 0.3484 0.2849  1 Ho 2.93, 4 Nd 2.95-3.07, 1 Se 3.25
Se 0.2500 0.6516 0.7151  1 Ho 2.93, 4 Nd 2.95-3.07, 1 Se 3.25
Se 0.2500 0.1516 0.7849  1 Ho 2.93, 4 Nd 2.95-3.07, 1 Se 3.25
Se 0.7500 0.1222 0.0622  3 Ho 2.91-3.06, 2 Nd 3.05, 1 Se 3.25
Se 0.2500 0.5092 0.1054  3 Ho 2.86-3.01

Computed properties:
theoretical density = 7.03 Mg/m³
volume = 25.81 Å³ per atom
crystal system = orthorhombic
symmetry = No. 62

Result of the stability comparison: B is the most stable of them.

A:
Density functional theory data (GGA-PBE) for Nd2HoSe4 after structural relaxation.

abc: 8.2966 8.2695 8.2695
angles: 60.98 59.89 59.89
With the nearest neighbours (Å) after each atom.
Fractional coordinates of all 14 atoms:
Nd 0.0000 0.0000 0.0000  6 Se 2.96-2.99
Nd 0.0000 0.0000 0.5000  6 Se 2.95-3.01
Nd 0.0000 0.5000 0.5000  6 Se 2.96-2.99
Nd 0.5000 0.0000 0.5000  6 Se 2.95-3.01
Ho 0.5000 0.5000 0.0000  6 Se 2.84-2.90
Ho 0.0000 0.5000 0.0000  6 Se 2.84-2.90
Se 0.2579 0.2511 0.2331  2 Ho 2.90, 3 Nd 2.99-3.01
Se 0.7421 0.2669 0.2489  2 Ho 2.90, 3 Nd 2.99-3.01
Se 0.2579 0.7331 0.7511  2 Ho 2.90, 3 Nd 2.99-3.01
Se 0.7421 0.7489 0.7669  2 Ho 2.90, 3 Nd 2.99-3.01
Se 0.7532 0.7454 0.2454  1 Ho 2.84, 3 Nd 2.95-2.96
Se 0.7440 0.2546 0.7546  1 Ho 2.84, 3 Nd 2.95-2.96
Se 0.2560 0.7454 0.2454  1 Ho 2.84, 3 Nd 2.95-2.96
Se 0.2468 0.2546 0.7546  1 Ho 2.84, 3 Nd 2.95-2.96

Computed properties:
theoretical density = 6.33 Mg/m³
volume = 28.81 Å³ per atom
crystal system = orthorhombic
symmetry = No. 74
Fermi-level density of states = 4.2 states/eV/cell

B:
Density functional theory data (GGA-PBE) for Nd2HoSe4 after structural relaxation.

abc: 4.0174 7.2591 14.0961
angles: 90.00 90.00 106.06
With the nearest neighbours (Å) after each atom.
Fractional coordinates of all 14 atoms:
Nd 0.1301 0.2601 0.4282  6 Se 2.89-3.05
Nd 0.8699 0.7399 0.9282  6 Se 2.89-3.05
Nd 0.1301 0.2601 0.0718  6 Se 2.89-3.05
Nd 0.8699 0.7399 0.5718  6 Se 2.89-3.05
Ho 0.6280 0.2559 0.7500  6 Se 2.87-2.95
Ho 0.3720 0.7441 0.2500  6 Se 2.87-2.95
Se 0.7811 0.5621 0.1260  2 Ho 2.95, 3 Nd 3.01-3.05
Se 0.7811 0.5621 0.3740  2 Ho 2.95, 3 Nd 3.01-3.05
Se 0.2189 0.4379 0.8740  2 Ho 2.95, 3 Nd 3.01-3.05
Se 0.2189 0.4379 0.6260  2 Ho 2.95, 3 Nd 3.01-3.05
Se 0.9807 0.9614 0.7500  2 Ho 2.87, 2 Nd 2.95
Se 0.0193 0.0386 0.2500  2 Ho 2.87, 2 Nd 2.95
Se 0.5000 0.0000 0.0000  4 Nd 2.89
Se 0.5000 0.0000 0.5000  4 Nd 2.89

Computed properties:
theoretical density = 6.47 Mg/m³
volume = 28.22 Å³ per atom
crystal system = orthorhombic
symmetry = No. 63
Fermi-level density of states = 4.3 states/eV/cell

Result of the stability comparison: A is the most stable of them.

A:
Density functional theory data (GGA-PBE) for Nd2HoSi2 after structural relaxation.

abc: 4.3603 6.5925 9.9246
angles: 78.24 77.31 70.69
With the nearest neighbours (Å) after each atom.
Fractional coordinates of all 10 atoms:
Nd 0.3207 0.2677 0.0908  4 Si 3.10-3.27
Nd 0.4846 0.3423 0.6884  6 Si 3.12-3.21
Nd 0.6793 0.7323 0.9092  4 Si 3.10-3.27
Nd 0.5154 0.6577 0.3116  6 Si 3.12-3.21
Ho 0.7754 0.0825 0.3666  4 Si 2.85-3.00
Ho 0.2246 0.9175 0.6334  4 Si 2.85-3.00
Si 0.9895 0.1270 0.8940  1 Si 2.41
Si 0.1096 0.3352 0.4456  1 Si 2.44
Si 0.0105 0.8730 0.1060  1 Si 2.41
Si 0.8904 0.6648 0.5544  1 Si 2.44

Computed properties:
theoretical density = 6.51 Mg/m³
volume = 26.00 Å³ per atom
crystal system = monoclinic
symmetry = No. 12
Fermi-level density of states = 7.3 states/eV/cell

B:
Density functional theory data (GGA-PBE) for Nd2HoSi2 after structural relaxation.

abc: 4.3948 7.6011 7.6011
angles: 90.00 90.00 90.00
With the nearest neighbours (Å) after each atom.
Fractional coordinates of all 10 atoms:
Nd 0.5000 0.1771 0.6771  6 Si 3.14-3.16
Nd 0.5000 0.6771 0.8229  6 Si 3.14-3.16
Nd 0.5000 0.8229 0.3229  6 Si 3.14-3.16
Nd 0.5000 0.3229 0.1771  6 Si 3.14-3.16
Ho 0.0000 0.0000 0.0000  4 Si 3.06
Ho 0.0000 0.5000 0.5000  4 Si 3.06
Si 0.0000 0.3856 0.8856  1 Si 2.46
Si 0.0000 0.8856 0.6144  1 Si 2.46
Si 0.0000 0.6144 0.1144  1 Si 2.46
Si 0.0000 0.1144 0.3856  1 Si 2.46

Computed properties:
theoretical density = 6.67 Mg/m³
volume = 25.39 Å³ per atom
crystal system = tetragonal
symmetry = No. 127
Fermi-level density of states = 8.4 states/eV/cell

Result of the stability comparison: B is the most stable of them.

A:
Density functional theory data (GGA-PBE) for Nd3Sm8Ho2 after structural relaxation.

abc: 5.7664 7.7477 10.8873
angles: 110.84 90.03 90.00
With the nearest neighbours (Å) after each atom.
Fractional coordinates of all 13 atoms:
Nd 0.5000 0.0000 0.0000  4 Sm 3.16
Nd 0.0000 0.2899 0.0000  1 Nd 3.26, 6 Sm 3.56-3.63
Nd 0.0000 0.7101 0.0000  1 Nd 3.26, 6 Sm 3.56-3.63
Sm 0.0010 0.6736 0.3473  2 Ho 3.36, 4 Sm 3.56-3.57
Sm 0.9990 0.3264 0.6527  2 Ho 3.36, 4 Sm 3.56-3.57
Sm 0.9996 0.1354 0.2709  2 Nd 3.56, 2 Ho 3.60-3.61, 7 Sm 3.70-3.95
Sm 0.0004 0.8646 0.7291  2 Nd 3.56, 2 Ho 3.60-3.61, 7 Sm 3.70-3.95
Sm 0.4997 0.6002 0.7834  1 Nd 3.16, 1 Sm 3.23, 2 Ho 3.46-3.53
Sm 0.4997 0.1832 0.7834  1 Nd 3.16, 1 Sm 3.23, 2 Ho 3.46-3.53
Sm 0.5003 0.8168 0.2166  1 Nd 3.16, 1 Sm 3.23, 2 Ho 3.46-3.53
Sm 0.5003 0.3998 0.2166  1 Nd 3.16, 1 Sm 3.23, 2 Ho 3.46-3.53
Ho 0.4988 0.2415 0.4830  8 Sm 3.36-3.61
Ho 0.5012 0.7585 0.5170  8 Sm 3.36-3.61

Computed properties:
theoretical density = 7.18 Mg/m³
volume = 34.97 Å³ per atom
crystal system = monoclinic
symmetry = No. 12
Fermi-level density of states = 20.4 states/eV/cell

B:
Density functional theory data (GGA-PBE) for Nd3Sm8Ho2 after structural relaxation.

abc: 6.2153 8.8544 8.8544
angles: 83.60 72.64 72.64
With the nearest neighbours (Å) after each atom.
Fractional coordinates of all 13 atoms:
Nd 0.5000 0.0000 0.0000  2 Sm 3.21, 2 Ho 3.54
Nd 0.0000 0.2422 0.7578  6 Sm 3.47-3.62
Nd 0.0000 0.7578 0.2422  6 Sm 3.47-3.62
Sm 0.2169 0.5550 0.5550  5 Sm 3.23-3.54, 2 Ho 3.27-3.32, 2 Nd 3.52
Sm 0.7831 0.4450 0.4450  5 Sm 3.23-3.54, 2 Ho 3.27-3.32, 2 Nd 3.52
Sm 0.9498 0.1566 0.1566  3 Nd 3.21-3.47, 2 Ho 3.39-3.59, 1 Sm 3.52
Sm 0.0502 0.8434 0.8434  3 Nd 3.21-3.47, 2 Ho 3.39-3.59, 1 Sm 3.52
Sm 0.6738 0.5699 0.0834  2 Ho 3.43-3.64, 4 Sm 3.46-3.74, 2 Nd 3.62-3.69
Sm 0.6738 0.0834 0.5699  2 Ho 3.43-3.64, 4 Sm 3.46-3.74, 2 Nd 3.62-3.69
Sm 0.3262 0.9166 0.4301  2 Ho 3.43-3.64, 4 Sm 3.46-3.74, 2 Nd 3.62-3.69
Sm 0.3262 0.4301 0.9166  2 Ho 3.43-3.64, 4 Sm 3.46-3.74, 2 Nd 3.62-3.69
Ho 0.3556 0.2883 0.2883  8 Sm 3.27-3.64, 1 Nd 3.54
Ho 0.6444 0.7117 0.7117  8 Sm 3.27-3.64, 1 Nd 3.54

Computed properties:
theoretical density = 7.35 Mg/m³
volume = 34.13 Å³ per atom
crystal system = monoclinic
symmetry = No. 12
Fermi-level density of states = 22.4 states/eV/cell

Result of the stability comparison: B is the most stable of them.